Ba2CaW3O12 | GGA+U | relaxed

Structure (POSCAR):
```
Ba2CaW3O12
1.0
-5.610 -4.371 -1.291
0.176 -3.953 -6.048
1.085 -7.112 0.695
W O Ca Ba
3 12 1 2
Cartesian
-2.805 -2.185 -0.646 W
0.088 -1.977 -3.024 W
0.542 -3.556 0.348 W
-4.741 -7.103 -2.689 O
-3.909 -11.732 -3.018 O
-4.334 -10.255 -6.171 O
-0.553 -8.818 -1.446 O
-3.797 -6.617 -5.198 O
0.391 -8.332 -3.956 O
-1.121 -6.842 -5.664 O
-3.146 -3.899 -1.402 O
-0.015 -5.181 -0.473 O
-0.440 -3.703 -3.627 O
-1.203 -11.537 -5.242 O
-3.228 -8.593 -0.980 O
0.000 0.000 0.000 Ca
-2.735 -9.706 -4.178 Ba
-1.615 -5.730 -2.466 Ba
```

Output
Electronic total energy (eV/atom): -7.21
Space-group type: R-3m